Material: La6Pr2NdMg
Method: DFT, PBE-GGA
State: relaxed

Output
- calculated formation energy (meV/atom) = 77

abc: 8.787 8.787 9.639
angles: 95.83 95.83 104.57
Sites, in units of the cell vectors:
La: 0.042 0.465 0.673
La: 0.066 0.825 0.902
La: 0.175 0.934 0.598
La: 0.237 0.580 0.080
La: 0.420 0.763 0.420
La: 0.465 0.042 0.173
La: 0.535 0.958 0.827
La: 0.580 0.237 0.580
La: 0.763 0.420 0.920
La: 0.825 0.066 0.402
La: 0.934 0.175 0.098
La: 0.958 0.535 0.327
Pr: 0.235 0.298 0.406
Pr: 0.298 0.235 0.906
Pr: 0.702 0.765 0.094
Pr: 0.765 0.702 0.594
Nd: 0.429 0.571 0.750
Nd: 0.571 0.429 0.250
Mg: 0.098 0.902 0.250
Mg: 0.902 0.098 0.750

***

Material: CdSb2Pt
Method: DFT, PBE-GGA
State: relaxed

Output
- energy (eV/cell) = -46.10

abc: 3.624 3.624 25.862
angles: 90.00 90.00 120.00
Sites, in units of the cell vectors:
Cd: 0.000 0.000 0.000
Cd: 0.333 0.667 0.667
Cd: 0.667 0.333 0.333
Sb: 0.000 0.000 0.530
Sb: 0.000 0.000 0.759
Sb: 0.333 0.667 0.197
Sb: 0.333 0.667 0.426
Sb: 0.667 0.333 0.092
Sb: 0.667 0.333 0.863
Pt: 0.000 0.000 0.259
Pt: 0.333 0.667 0.925
Pt: 0.667 0.333 0.592

***

Material: Dy3Ho7Tm2
Method: DFT, PBE-GGA
State: relaxed

Output
- calculated formation energy (meV/atom) = 92

abc: 5.732 3.526 18.466
angles: 90.00 93.44 90.00
Sites, in units of the cell vectors:
Dy: 0.000 0.000 0.000
Dy: 0.278 0.500 0.633
Dy: 0.722 0.500 0.367
Ho: 0.186 0.500 0.144
Ho: 0.243 0.000 0.463
Ho: 0.312 0.000 0.821
Ho: 0.500 0.500 0.000
Ho: 0.688 0.000 0.179
Ho: 0.757 0.000 0.537
Ho: 0.814 0.500 0.856
Tm: 0.210 0.000 0.294
Tm: 0.790 0.000 0.706